BiSb2IN after structural relaxation. Source: the Alexandria database, functional GGA-PBE. Values from VASP.

The structure in Quantum ESPRESSO input format:
```
&SYSTEM
  ibrav = 0, nat = 5, ntyp = 4
/
ATOMIC_SPECIES
Sb 121.76 Sb.upf
N 14.01 N.upf
Bi 208.98 Bi.upf
I 126.90 I.upf
ATOMIC_POSITIONS angstrom
Sb 2.4992 0.0000 0.0000
Sb 0.0000 2.4992 0.0000
N 0.0000 0.0000 0.0000
Bi 2.4992 2.4992 2.4129
I 0.0000 0.0000 2.4129
CELL_PARAMETERS angstrom
4.9985 0.0000 0.0000
0.0000 4.9985 0.0000
0.0000 0.0000 4.8258
```

Properties
- space group = P4/mmm
- M_tot (μB per formula unit) = 0.00
- energy above the lowest structure with this stoichiometry (eV per atom) = 0.0000